# 1
# CdSbCl2O (PBE, relaxed)
# calculated volume: 146 Å³/cell
# total magnetization: 0.00 Bohr magnetons per cell
# theoretical density: 3.66 Mg/m³
# formation energy from raw total energies: 0.480 eV per atom
# uncorrected energy: -11.3 eV per cell
data_CdSbCl2O
_chemical_formula_sum 'Cd1 Sb1 Cl2 O1'
_cell_length_a 4.821
_cell_length_b 4.821
_cell_length_c 6.260
_cell_angle_alpha 90.00
_cell_angle_beta 90.00
_cell_angle_gamma 90.00
_space_group_name_H-M_alt 'P 4/m m m'
_space_group_IT_number 123
_space_group_name_Hall '-P 4 2'
loop_
_atom_site_label
_atom_site_fract_x
_atom_site_fract_y
_atom_site_fract_z
Cd1 0.000 0.000 0.000
Sb1 0.000 0.000 0.500
Cl1 0.000 0.500 0.000
O1 0.500 0.500 0.500

=====

# 2
# Ac2CeGd (PBE, relaxed)
# relative energy among the computed polymorphs: 7.8 meV per atom
# calculated volume: 453 Å³/cell
# total magnetization: 18.28 Bohr magnetons per cell
# energy of formation from the pure elements: 0.11 eV per atom
# theoretical density: 8.26 Mg/m³
# uncorrected energy: -83.4 eV per cell
data_Ac2CeGd
_chemical_formula_sum 'Ac6 Ce3 Gd3'
_cell_length_a 3.7921
_cell_length_b 3.7921
_cell_length_c 36.3931
_cell_angle_alpha 90.00
_cell_angle_beta 90.00
_cell_angle_gamma 120.00
_space_group_name_H-M_alt 'R -3 m'
_space_group_IT_number 166
_space_group_name_Hall '-R 3 2"'
loop_
_atom_site_label
_atom_site_fract_x
_atom_site_fract_y
_atom_site_fract_z
Ac1 0.0000 0.0000 0.2502
Ce1 0.0000 0.0000 0.0000
Gd1 0.0000 0.0000 0.5000

=====

# 3
# Zn2Ag2Au (PBE, relaxed)
# relative energy among the computed polymorphs: 109.8 meV per atom
# calculated volume: 171 Å³/cell
# total magnetization: 0.00 Bohr magnetons per cell
# energy of formation from the pure elements: 0.02 eV per atom
# theoretical density: 10.58 Mg/m³
# uncorrected energy: -22.9 eV per cell
data_Zn2Ag2Au
_chemical_formula_sum 'Zn4 Ag4 Au2'
_cell_length_a 7.563
_cell_length_b 7.563
_cell_length_c 2.982
_cell_angle_alpha 90.00
_cell_angle_beta 90.00
_cell_angle_gamma 90.00
_space_group_name_H-M_alt 'P 4/m b m'
_space_group_IT_number 127
_space_group_name_Hall '-P 4 2ab'
loop_
_atom_site_label
_atom_site_fract_x
_atom_site_fract_y
_atom_site_fract_z
Zn1 0.166 0.334 0.000
Ag1 0.133 0.633 0.500
Au1 0.000 0.000 0.500